{
  "formula": "Zr2Ni2Sb",
  "functional": "meta-GGA SCAN",
  "state": "single point on PBEsol structure",
  "lattice": [[3.6207, 0.0000, 0.0000], [0.0000, 6.8022, 0.0000], [0.0000, 0.0000, 6.8022]],
  "species": ["Ni", "Sb", "Zr", "Zr", "Ni", "Ni", "Ni", "Zr", "Sb", "Zr"],
  "frac_coords": [[0.0000, 0.1254, 0.3746], [0.0000, 0.0000, 0.0000], [0.5000, 0.3317, 0.1683], [0.5000, 0.6683, 0.8317], [0.0000, 0.6254, 0.1254], [0.0000, 0.8746, 0.6254], [0.0000, 0.3746, 0.8746], [0.5000, 0.8317, 0.3317], [0.0000, 0.5000, 0.5000], [0.5000, 0.1683, 0.6683]],
  "volume_a3_per_atom": 16.75,
  "total_energy_ev_per_atom": -26.86,
  "formation_energy_uncorrected_ev_per_atom": -0.6611,
  "magnetic_moment_mub_per_cell": 0.00
}

{
  "formula": "ZrNiSb2",
  "functional": "meta-GGA SCAN",
  "state": "single point on PBEsol structure",
  "lattice": [[-2.5829, -2.9976, -0.6325], [2.9407, -2.1940, -1.6112], [0.8489, 0.7975, 5.4467]],
  "species": ["Zr", "Ni", "Sb", "Sb"],
  "frac_coords": [[0.5000, 0.5000, 0.0000], [0.2500, 0.7500, 0.5000], [0.7500, 0.2500, 0.5000], [0.0000, 0.0000, 0.0000]],
  "volume_a3_per_atom": 19.25,
  "total_energy_ev_per_atom": -30.54,
  "formation_energy_uncorrected_ev_per_atom": -0.1870,
  "magnetic_moment_mub_per_cell": 0.00
}

{
  "formula": "ScNi3",
  "functional": "meta-GGA SCAN",
  "state": "single point on PBEsol structure",
  "lattice": [[3.6483, 0.0000, 0.0000], [0.0000, 3.6483, 0.0000], [0.0000, 0.0000, 3.6483]],
  "species": ["Ni", "Ni", "Ni", "Sc"],
  "frac_coords": [[0.5000, 0.0000, 0.0000], [0.0000, 0.5000, 0.0000], [0.0000, 0.0000, 0.5000], [0.5000, 0.5000, 0.5000]],
  "volume_a3_per_atom": 12.14,
  "total_energy_ev_per_atom": -16.08,
  "magnetic_moment_mub_per_cell": 0.65,
  "formation_energy_ev_per_atom": -0.388
}

{
  "formula": "ScNi5",
  "functional": "meta-GGA SCAN",
  "state": "single point on PBEsol structure",
  "lattice": [[-1.2315, -3.6241, 0.7880], [-0.2935, -0.8946, -4.5735], [3.9761, -0.8521, 2.2952]],
  "species": ["Ni", "Ni", "Ni", "Sc", "Ni", "Ni"],
  "frac_coords": [[0.0000, 0.4947, 0.4947], [0.0000, 0.0000, 0.5053], [0.5000, 0.3333, 0.6667], [0.5000, 0.0000, 0.0000], [0.0000, 0.5053, 0.0000], [0.5000, 0.6667, 0.3333]],
  "volume_a3_per_atom": 12.30,
  "total_energy_ev_per_atom": -16.13,
  "magnetic_moment_mub_per_cell": 2.00,
  "formation_energy_ev_per_atom": -0.281
}

{
  "formula": "Sc5Ni3",
  "functional": "meta-GGA SCAN",
  "state": "single point on PBEsol structure",
  "lattice": [[5.4707, 0.0000, 0.0000], [0.0000, 7.6487, 0.0000], [0.0000, -3.8244, 6.6240]],
  "species": ["Sc", "Ni", "Sc", "Ni", "Sc", "Sc", "Ni", "Sc", "Sc", "Ni", "Ni", "Sc", "Ni", "Sc", "Sc", "Sc"],
  "frac_coords": [[0.7500, 0.2431, 0.0000], [0.2500, 0.5966, 0.5966], [0.7500, 0.0000, 0.2431], [0.2500, 0.4034, 0.0000], [0.5000, 0.6667, 0.3333], [0.5000, 0.3333, 0.6667], [0.2500, 0.0000, 0.4034], [0.2500, 0.7569, 0.0000], [0.2500, 0.2431, 0.2431], [0.7500, 0.5966, 0.0000], [0.7500, 0.0000, 0.5966], [0.7500, 0.7569, 0.7569], [0.7500, 0.4034, 0.4034], [0.0000, 0.3333, 0.6667], [0.0000, 0.6667, 0.3333], [0.2500, 0.0000, 0.7569]],
  "volume_a3_per_atom": 17.32,
  "total_energy_ev_per_atom": -15.34,
  "magnetic_moment_mub_per_cell": 0.00,
  "formation_energy_ev_per_atom": -0.375
}

{
  "formula": "ScNi2",
  "functional": "meta-GGA SCAN",
  "state": "single point on PBEsol structure",
  "lattice": [[4.8142, 0.0000, 0.0000], [2.4071, 4.1692, 0.0000], [2.4071, 1.3897, 3.9308]],
  "species": ["Ni", "Ni", "Sc", "Sc", "Ni", "Ni"],
  "frac_coords": [[0.1250, 0.1250, 0.1250], [0.1250, 0.6250, 0.1250], [0.7500, 0.7500, 0.7500], [0.5000, 0.5000, 0.5000], [0.1250, 0.1250, 0.6250], [0.6250, 0.1250, 0.1250]],
  "volume_a3_per_atom": 13.15,
  "total_energy_ev_per_atom": -16.07,
  "magnetic_moment_mub_per_cell": 0.00,
  "formation_energy_ev_per_atom": -0.544
}

{
  "formula": "ScNi2",
  "functional": "meta-GGA SCAN",
  "state": "single point on PBEsol structure",
  "lattice": [[-1.5078, -1.0219, -3.1860], [-3.1446, -0.7608, 1.7322], [-1.3066, 11.8320, -1.0630]],
  "species": ["Ni", "Ni", "Ni", "Sc", "Ni", "Sc", "Sc", "Ni", "Sc", "Ni", "Ni", "Ni"],
  "frac_coords": [[0.0002, 0.5002, 0.0004], [0.8295, 0.3295, 0.6590], [0.4998, 0.9998, 0.9996], [0.1743, 0.6743, 0.3487], [0.5795, 0.5795, 0.1590], [0.3257, 0.8257, 0.6513], [0.9243, 0.9243, 0.8487], [0.4205, 0.4205, 0.8410], [0.0757, 0.0757, 0.1513], [0.7502, 0.7502, 0.5004], [0.6705, 0.1705, 0.3410], [0.2498, 0.2498, 0.4996]],
  "volume_a3_per_atom": 13.09,
  "total_energy_ev_per_atom": -15.94,
  "magnetic_moment_mub_per_cell": 0.00,
  "formation_energy_ev_per_atom": -0.414
}

{
  "formula": "Sc3Ni",
  "functional": "meta-GGA SCAN",
  "state": "single point on PBEsol structure",
  "lattice": [[4.2208, 0.0000, 0.0000], [0.0000, 4.2208, 0.0000], [0.0000, 0.0000, 4.2208]],
  "species": ["Sc", "Sc", "Sc", "Ni"],
  "frac_coords": [[0.5000, 0.5000, 0.0000], [0.5000, 0.0000, 0.5000], [0.0000, 0.5000, 0.5000], [0.0000, 0.0000, 0.0000]],
  "volume_a3_per_atom": 18.80,
  "total_energy_ev_per_atom": -14.72,
  "magnetic_moment_mub_per_cell": 0.00,
  "formation_energy_ev_per_atom": -0.003
}

{
  "formula": "Sc3Ni",
  "functional": "meta-GGA SCAN",
  "state": "single point on PBEsol structure",
  "lattice": [[-0.3718, -0.2040, 3.1514], [2.8805, -1.3225, 0.2543], [3.1405, 6.9986, 0.8237]],
  "species": ["Sc", "Sc", "Ni", "Sc"],
  "frac_coords": [[0.0000, 0.0000, 0.5000], [0.5000, 0.5000, 0.8056], [0.0000, 0.0000, 0.0000], [0.5000, 0.5000, 0.1944]],
  "volume_a3_per_atom": 19.50,
  "total_energy_ev_per_atom": -14.96,
  "magnetic_moment_mub_per_cell": 1.93,
  "formation_energy_ev_per_atom": -0.234
}

{
  "formula": "ScNi2",
  "functional": "meta-GGA SCAN",
  "state": "single point on PBEsol structure",
  "lattice": [[-1.4902, 3.7588, -0.0795], [-3.5614, 0.7262, -1.7732], [-3.2243, 0.9449, 2.2509]],
  "species": ["Ni", "Ni", "Sc"],
  "frac_coords": [[0.7500, 0.7500, 0.7500], [0.2500, 0.2500, 0.2500], [0.0000, 0.0000, 0.0000]],
  "volume_a3_per_atom": 15.59,
  "total_energy_ev_per_atom": -15.25,
  "magnetic_moment_mub_per_cell": 0.00,
  "formation_energy_ev_per_atom": 0.280
}

Repeat the ninth record exactly.
{
  "formula": "Sc3Ni",
  "functional": "meta-GGA SCAN",
  "state": "single point on PBEsol structure",
  "lattice": [[-0.3718, -0.2040, 3.1514], [2.8805, -1.3225, 0.2543], [3.1405, 6.9986, 0.8237]],
  "species": ["Sc", "Sc", "Ni", "Sc"],
  "frac_coords": [[0.0000, 0.0000, 0.5000], [0.5000, 0.5000, 0.8056], [0.0000, 0.0000, 0.0000], [0.5000, 0.5000, 0.1944]],
  "volume_a3_per_atom": 19.50,
  "total_energy_ev_per_atom": -14.96,
  "magnetic_moment_mub_per_cell": 1.93,
  "formation_energy_ev_per_atom": -0.234
}